Material: CaHF3
Method: DFT, GGA-PBE
State: relaxed

Cell: 5.884 6.786 8.317 Å, 90.00 134.69 90.00°
Atoms (fractional coordinates):
Ca  0.080  0.149  0.222
Ca  0.080  0.351  0.722
Ca  0.920  0.649  0.278
Ca  0.920  0.851  0.778
H  0.316  0.545  0.164
H  0.316  0.955  0.664
H  0.684  0.045  0.336
H  0.684  0.455  0.836
F  0.057  0.160  0.935
F  0.057  0.340  0.435
F  0.282  0.017  0.764
F  0.282  0.483  0.264
F  0.357  0.611  0.045
F  0.357  0.889  0.545
F  0.643  0.111  0.455
F  0.643  0.389  0.955
F  0.718  0.517  0.736
F  0.718  0.983  0.236
F  0.943  0.660  0.565
F  0.943  0.840  0.065

Calculated values
* symmetry: P2_1/c (14)
* DFT total energy: -5.200 eV/atom